(1)
The following is a PBE calculation of LiCuH after structural relaxation, from Alexandria.

Unit cell a=4.1266 b=5.3897 c=6.5452 alpha=82.90 beta=71.29 gamma=67.65
Closest atoms and distances in Å follow each position.
Element x y z (fractional)
H 0.0247 0.6865 0.2567  2 Cu 1.61-1.71
H 0.7112 0.3122 0.2555  2 Cu 1.61-1.71
H 0.2888 0.6878 0.7445  2 Cu 1.61-1.71
H 0.9753 0.3135 0.7433  2 Cu 1.61-1.71
Cu 0.8173 0.9994 0.3698  2 H 1.71
Cu 0.8697 0.2584 0.9995  2 H 1.61
Cu 0.1303 0.7416 0.0005  2 H 1.61
Cu 0.1827 0.0006 0.6302  2 H 1.71
Li 0.5102 0.7061 0.2715  3 H 1.97-2.08
Li 0.2173 0.2922 0.2698  3 H 1.97-2.08
Li 0.7827 0.7078 0.7302  3 H 1.97-2.08
Li 0.4898 0.2939 0.7285  3 H 1.97-2.08

Output
- Total DFT energy (no corrections): -3.20 eV/atom
- D(E_F): 2.35 states/eV per cell
- M_tot: 0.000 μB/f.u.


(2)
The following is a PBE calculation of TmLuTlAg after structural relaxation, from Alexandria.

Unit cell a=5.1780 b=5.1780 c=5.1780 alpha=60.00 beta=60.00 gamma=60.00
Closest atoms and distances in Å follow each position.
Element x y z (fractional)
Tl 0.7500 0.7500 0.7500  4 Tm 3.17, 4 Lu 3.17
Lu 0.0000 0.0000 0.0000  4 Ag 3.17, 4 Tl 3.17
Tm 0.5000 0.5000 0.5000  4 Tl 3.17, 4 Ag 3.17
Ag 0.2500 0.2500 0.2500  4 Tm 3.17, 4 Lu 3.17

Output
- DFT formation energy: -0.323 eV/atom
- D(E_F): 2.29 states/eV per cell
- M_tot: 0.003 μB/f.u.


(3)
The following is a PBE calculation of Cs3Pm2ErO6 after structural relaxation, from Alexandria.

Unit cell a=6.2776 b=6.2776 c=7.2272 alpha=98.32 beta=98.32 gamma=120.00
Closest atoms and distances in Å follow each position.
Element x y z (fractional)
Cs 0.1660 0.8340 0.5000  6 O 3.09-3.16
Cs 0.8340 0.1660 0.5000  6 O 3.09-3.16
Cs 0.5000 0.5000 0.5000  6 O 3.09-3.16
Pm 0.3333 0.6667 0.0000  6 O 2.42
Pm 0.6667 0.3333 0.0000  6 O 2.42
Er 0.0000 0.0000 0.0000  6 O 2.33
O 0.9445 0.6217 0.8337  1 Er 2.33, 2 Pm 2.42
O 0.7327 0.7327 0.1669  1 Er 2.33, 2 Pm 2.42
O 0.0555 0.3783 0.1663  1 Er 2.33, 2 Pm 2.42
O 0.6217 0.9445 0.8337  1 Er 2.33, 2 Pm 2.42
O 0.2673 0.2673 0.8331  1 Er 2.33, 2 Pm 2.42
O 0.3783 0.0555 0.1663  1 Er 2.33, 2 Pm 2.42

Output
- ΔE_f (raw): -2.5687 eV per atom
- D(E_F): 0.00 states/eV per cell
- M_tot: 0.000 μB/f.u.


(4)
The following is a PBE calculation of Na3Ag2Ge4 after structural relaxation, from Alexandria.

Unit cell a=4.1552 b=6.0777 c=10.1101 alpha=61.78 beta=78.20 gamma=69.93
Closest atoms and distances in Å follow each position.
Element x y z (fractional)
Na 0.6409 0.1026 0.6169  5 Ge 2.99-3.20
Na 0.0000 0.0000 0.0000  6 Ge 3.20-3.44, 4 Ag 3.47-3.50
Na 0.3591 0.8974 0.3831  5 Ge 2.99-3.20
Ag 0.6422 0.4854 0.2237  5 Ge 2.58-2.83
Ag 0.3578 0.5146 0.7763  5 Ge 2.58-2.83
Ge 0.2865 0.3496 0.0788  2 Ge 2.71, 3 Ag 2.72-2.83, 1 Na 2.99
Ge 0.9375 0.5111 0.6219  1 Ge 2.47, 2 Ag 2.58-2.59
Ge 0.0625 0.4889 0.3781  1 Ge 2.47, 2 Ag 2.58-2.59
Ge 0.7135 0.6504 0.9212  2 Ge 2.71, 3 Ag 2.72-2.83, 1 Na 2.99

Output
- DFT formation energy: -0.013 eV/atom
- D(E_F): 2.16 states/eV per cell
- M_tot: 0.000 μB/f.u.
- Offset from the most stable computed form: 74 meV per atom


(5)
The following is a PBE calculation of Hf4P2N after structural relaxation, from Alexandria.

Unit cell a=4.1525 b=4.1525 c=7.5051 alpha=73.94 beta=73.94 gamma=90.00
Closest atoms and distances in Å follow each position.
Element x y z (fractional)
P 0.3622 0.3622 0.2755  5 Hf 2.61-2.82
P 0.6378 0.6378 0.7245  5 Hf 2.61-2.82
Hf 0.1736 0.1736 0.6528  1 N 2.40, 1 P 2.61
Hf 0.8264 0.8264 0.3472  1 N 2.40, 1 P 2.61
Hf 0.0000 0.5000 0.0000  2 N 2.08
Hf 0.5000 0.0000 0.0000  2 N 2.08
N 0.0000 0.0000 0.0000  4 Hf 2.08

Output
- ΔE_f (raw): -0.8661 eV per atom
- D(E_F): 3.11 states/eV per cell
- M_tot: 0.000 μB/f.u.
- Offset from the most stable computed form: 244 meV per atom


(6)
The following is a PBE calculation of TcMo2H2 after structural relaxation, from Alexandria.

Unit cell a=5.9404 b=5.9404 c=2.9826 alpha=90.00 beta=90.00 gamma=90.00
Closest atoms and distances in Å follow each position.
Element x y z (fractional)
H 0.3086 0.8086 0.0000  2 Mo 1.99, 2 Tc 2.16
H 0.8086 0.6914 0.0000  2 Mo 1.99, 2 Tc 2.16
H 0.6914 0.1914 0.0000  2 Mo 1.99, 2 Tc 2.16
H 0.1914 0.3086 0.0000  2 Mo 1.99, 2 Tc 2.16
Mo 0.1522 0.6522 0.5000  2 H 1.99
Mo 0.6522 0.8478 0.5000  2 H 1.99
Mo 0.8478 0.3478 0.5000  2 H 1.99
Mo 0.3478 0.1522 0.5000  2 H 1.99
Tc 0.0000 0.0000 0.0000  4 H 2.16
Tc 0.5000 0.5000 0.0000  4 H 2.16

Output
- D(E_F): 6.17 states/eV per cell
- M_tot: 0.000 μB/f.u.
- Offset from the most stable computed form: 0 meV per atom


(7)
The following is a PBE calculation of La2Pm3PrHo6 after structural relaxation, from Alexandria.

Unit cell a=6.2743 b=6.2743 c=11.8338 alpha=95.06 beta=95.06 gamma=120.00
Closest atoms and distances in Å follow each position.
Element x y z (fractional)
La 0.3335 0.6665 0.0000  6 Ho 3.61, 3 La 3.62, 3 Pr 3.62
La 0.6665 0.3335 0.0000  6 Ho 3.61, 3 La 3.62, 3 Pr 3.62
Pm 0.1665 0.8335 0.5000  6 Ho 3.56, 6 Pm 3.62
Pm 0.8335 0.1665 0.5000  6 Ho 3.56, 6 Pm 3.62
Pm 0.5000 0.5000 0.5000  6 Ho 3.56, 6 Pm 3.62
Pr 0.0000 0.0000 0.0000  6 Ho 3.61, 6 La 3.62
Ho 0.9155 0.5827 0.7475  3 Pm 3.56, 2 La 3.61, 1 Pr 3.61, 6 Ho 3.62-3.63
Ho 0.7518 0.7518 0.2525  3 Pm 3.56, 1 Pr 3.61, 2 La 3.61, 6 Ho 3.62-3.63
Ho 0.0845 0.4173 0.2525  3 Pm 3.56, 2 La 3.61, 1 Pr 3.61, 6 Ho 3.62-3.63
Ho 0.5827 0.9155 0.7475  3 Pm 3.56, 2 La 3.61, 1 Pr 3.61, 6 Ho 3.62-3.63
Ho 0.2482 0.2482 0.7475  3 Pm 3.56, 1 Pr 3.61, 2 La 3.61, 6 Ho 3.62-3.63
Ho 0.4173 0.0845 0.2525  3 Pm 3.56, 2 La 3.61, 1 Pr 3.61, 6 Ho 3.62-3.63

Output
- DFT formation energy: 0.014 eV/atom
- D(E_F): 13.69 states/eV per cell
- M_tot: 0.000 μB/f.u.


(8)
The following is a PBE calculation of NdHo4Zn after structural relaxation, from Alexandria.

Unit cell a=3.5623 b=3.5623 c=13.6791 alpha=90.00 beta=90.00 gamma=90.00
Closest atoms and distances in Å follow each position.
Element x y z (fractional)
Nd 0.0000 0.0000 0.0000  4 Nd 3.56, 8 Ho 3.59
Ho 0.5000 0.5000 0.1872  8 Ho 3.56-3.57, 4 Nd 3.59
Ho 0.0000 0.0000 0.6281  4 Zn 3.07
Ho 0.0000 0.0000 0.3719  4 Zn 3.07
Ho 0.5000 0.5000 0.8128  8 Ho 3.56-3.57, 4 Nd 3.59
Zn 0.5000 0.5000 0.5000  8 Ho 3.07

Output
- DFT formation energy: -0.096 eV/atom
- D(E_F): 8.26 states/eV per cell
- M_tot: 0.000 μB/f.u.
- Offset from the most stable computed form: 0 meV per atom


(9)
The following is a PBE calculation of Ho2NpGa9 after structural relaxation, from Alexandria.

Unit cell a=4.2505 b=4.2505 c=12.8164 alpha=90.00 beta=90.00 gamma=90.00
Closest atoms and distances in Å follow each position.
Element x y z (fractional)
Ho 0.0000 0.0000 0.3343  12 Ga 3.00-3.03
Ho 0.0000 0.0000 0.6657  12 Ga 3.00-3.03
Np 0.0000 0.0000 0.0000  12 Ga 3.01
Ga 0.5000 0.5000 0.0000  8 Ga 3.01, 4 Np 3.01
Ga 0.5000 0.5000 0.3319  4 Ho 3.01, 8 Ga 3.01-3.03
Ga 0.5000 0.5000 0.6681  4 Ho 3.01, 8 Ga 3.01-3.03
Ga 0.5000 0.0000 0.1658  8 Ga 3.01, 2 Np 3.01, 2 Ho 3.03
Ga 0.5000 0.0000 0.5000  4 Ho 3.00, 8 Ga 3.01-3.03
Ga 0.5000 0.0000 0.8342  8 Ga 3.01, 2 Np 3.01, 2 Ho 3.03
Ga 0.0000 0.5000 0.1658  2 Np 3.01, 8 Ga 3.01, 2 Ho 3.03
Ga 0.0000 0.5000 0.5000  4 Ho 3.00, 8 Ga 3.01-3.03
Ga 0.0000 0.5000 0.8342  2 Np 3.01, 8 Ga 3.01, 2 Ho 3.03

Output
- DFT formation energy: -0.426 eV/atom
- D(E_F): 10.44 states/eV per cell
- M_tot: 3.723 μB/f.u.


(10)
The following is a PBE calculation of NdUTe2C after structural relaxation, from Alexandria.

Unit cell a=4.0685 b=4.0685 c=16.6016 alpha=90.00 beta=90.00 gamma=90.00
Closest atoms and distances in Å follow each position.
Element x y z (fractional)
Nd 0.5000 0.0000 0.1460  5 Te 3.07-3.08
Nd 0.0000 0.5000 0.8540  5 Te 3.07-3.08
U 0.5000 0.0000 0.5660  4 C 2.31
U 0.0000 0.5000 0.4340  4 C 2.31
Te 0.0000 0.5000 0.6692  1 Nd 3.07, 4 U 3.35
Te 0.0000 0.5000 0.0795  4 Nd 3.08
Te 0.5000 0.0000 0.9205  4 Nd 3.08
Te 0.5000 0.0000 0.3308  1 Nd 3.07, 4 U 3.35
C 0.0000 0.0000 0.5000  4 U 2.31
C 0.5000 0.5000 0.5000  4 U 2.31

Output
- ΔE_f (raw): -0.7533 eV per atom
- D(E_F): 10.09 states/eV per cell
- M_tot: 0.767 μB/f.u.